(1)
# RbNaOsO4 | the Alexandria database | GGA-PBE | optimized geometry
# Final energy: -6.11 eV/atom
# ρ: 3.9 Mg/m³
# E_form (uncorrected): -1344 meV/atom
data_RbNaOsO4
_cell_length_a 6.277
_cell_length_b 6.277
_cell_length_c 7.907
_cell_angle_alpha 90.00
_cell_angle_beta 90.00
_cell_angle_gamma 90.00
_symmetry_space_group_name_H-M 'I -4'
_symmetry_Int_Tables_number 82
_symmetry_space_group_name_Hall 'I -4'
loop_
_atom_site_label
_atom_site_type_symbol
_atom_site_fract_x
_atom_site_fract_y
_atom_site_fract_z
_atom_site_occupancy
Rb1 Rb 0.000 0.000 0.000 1
Na1 Na 0.000 0.000 0.500 1
Os1 Os 0.000 0.500 0.250 1
O1 O 0.135 0.264 0.322 1


(2)
# NaLu2In | the Alexandria database | GGA-PBE | optimized geometry
# Energy of formation: -41 meV per atom
# Final energy: -3.32 eV/atom
# ρ: 7.6 Mg/m³
data_NaLu2In
_cell_length_a 5.010
_cell_length_b 5.010
_cell_length_c 4.251
_cell_angle_alpha 90.00
_cell_angle_beta 90.00
_cell_angle_gamma 90.00
_symmetry_space_group_name_H-M 'P 4/m m m'
_symmetry_Int_Tables_number 123
_symmetry_space_group_name_Hall '-P 4 2'
loop_
_atom_site_label
_atom_site_type_symbol
_atom_site_fract_x
_atom_site_fract_y
_atom_site_fract_z
_atom_site_occupancy
Na1 Na 0.000 0.000 0.000 1
Lu1 Lu 0.000 0.500 0.500 1
In1 In 0.500 0.500 0.000 1


Q: Which of these has the highest final energy?
A: NaLu2In